This record from Alexandria describes a geometry-optimized NaPmCu2P2 structure. The functional is PBE-GGA.

The calculation puts the formation energy at -0.72 eV per atom. The calculation puts the spin magnetization at 0.000 μB/cell. The calculation puts the mass density at 5.27 g/cm³.

The structure belongs to space group P-3m1 (No. 164); the cell edges are 4.0309, 4.0309 and 8.0011 Å and the angles 90.00°, 90.00° and 120.00°. Symmetry generates all atoms from Na at (0.0000, 0.0000, 0.0000), Pm at (0.0000, 0.0000, 0.5000), Cu at (0.3333, 0.6667, 0.2500) and P at (0.3333, 0.6667, 0.7330).

***

This record from Alexandria describes a geometry-optimized Na2CuP3Pt12 structure. The functional is PBE-GGA.

The calculation puts the formation energy at -0.12 eV per atom. The calculation puts the spin magnetization at 0.000 μB/cell. The calculation puts the mass density at 12.58 g/cm³.

The structure belongs to space group R-3m (No. 166, hexagonal axes); the cell edges are 8.2174, 8.2174 and 17.2274 Å and the angles 90.00°, 90.00° and 120.00°. Symmetry generates all atoms from Na at (0.0000, 0.0000, 0.1015), Cu at (0.0000, 0.0000, 0.5000), P at (0.0000, 0.5000, 0.0000), Pt at (0.0046, 0.5023, 0.8698) and Pt at (0.0351, 0.5176, 0.3656).

***

This record from Alexandria describes a geometry-optimized Rb2NaCuP structure. The functional is PBE-GGA.

The calculation puts the formation energy at -0.03 eV per atom. The calculation puts the spin magnetization at 0.000 μB/cell. The calculation puts the mass density at 2.47 g/cm³.

The structure belongs to space group P4/mmm (No. 123); the cell edges are 6.734, 6.734 and 4.273 Å and the angles 90.00°, 90.00° and 90.00°. Symmetry generates all atoms from Rb at (0.000, 0.500, 0.000), Na at (0.000, 0.000, 0.500), Cu at (0.500, 0.500, 0.000) and P at (0.500, 0.500, 0.500).

***

This record from Alexandria describes a geometry-optimized NaCuPRh structure. The functional is PBE-GGA.

The calculation puts the formation energy at -0.24 eV per atom. The calculation puts the spin magnetization at 0.000 μB/cell. The calculation puts the mass density at 4.80 g/cm³.

The structure belongs to space group P4/nmm (No. 129, origin choice 2); the cell edges are 3.831, 3.831 and 10.385 Å and the angles 90.00°, 90.00° and 90.00°. Symmetry generates all atoms from Na at (0.250, 0.250, 0.229), Cu at (0.250, 0.750, 0.000), P at (0.250, 0.250, 0.629) and Rh at (0.250, 0.750, 0.500).

***

Question: mass density of number 3 (Rb2NaCuP)?
Answer: 2.47 g/cm³